A relaxed structure of Ce2YEr, computed with GGA-PBE.

## Properties
Its calculated formation energy is 0.223 eV per atom. The energy above the most stable polymorph in this dataset comes out at 12.4 kJ per mole of atoms. For the calculated density, the calculation gives 7.05 g cm⁻³. The density of states at the Fermi level is 14.443 states/eV/f.u.

Lattice parameters (Å, degrees): 5.633 5.633 5.633 60.00 60.00 60.00
Each line ends with the local moment (μB).
Fractional positions:
Er 0.500 0.500 0.500  0.04
Y 0.000 0.000 0.000  0.05
Ce 0.250 0.250 0.250  0.66
Ce 0.750 0.750 0.750  0.66